This record from Alexandria via LeMat-Bulk describes crystalline Cs2ZnGe at its relaxed geometry. The functional is GGA-PBE.

Lattice parameters (Å, degrees): 3.781 6.801 6.801 105.00 90.00 90.00
Fractional coordinates of all 4 atoms:
Cs 0.000 0.200 0.800
Cs 0.000 0.800 0.200
Zn 0.500 0.620 0.620
Ge 0.500 0.326 0.326

Formation energy from the elements = 0.74 eV/f.u.
Symmetry = Amm2 (38)
Size of the total moment = 0.000 μB per formula unit

=====

This record from Alexandria via LeMat-Bulk describes crystalline CsZnGe at its relaxed geometry. The functional is GGA-PBE.

Lattice parameters (Å, degrees): 4.568 7.242 7.282 105.63 100.03 104.32
Fractional coordinates of all 6 atoms:
Cs 0.234 0.329 0.200
Cs 0.766 0.671 0.800
Zn 0.462 0.088 0.682
Zn 0.538 0.912 0.318
Ge 0.014 0.814 0.377
Ge 0.986 0.186 0.623

Formation energy from the elements = -0.20 eV/f.u.
Symmetry = P-1 (2)
Size of the total moment = 0.000 μB per formula unit
Distance to the lowest polymorph of the same formula = 0 meV per atom

=====

This record from Alexandria via LeMat-Bulk describes crystalline CsZn2Ge2 at its relaxed geometry. The functional is GGA-PBE.

Lattice parameters (Å, degrees): 6.842 6.842 6.842 140.98 140.98 56.37
Fractional coordinates of all 5 atoms:
Cs 0.000 0.000 0.000
Zn 0.368 0.368 0.000
Zn 0.632 0.632 0.000
Ge 0.250 0.750 0.500
Ge 0.750 0.250 0.500

Formation energy from the elements = 0.47 eV/f.u.
Symmetry = I4/mmm (139)
Size of the total moment = 0.000 μB per formula unit
Distance to the lowest polymorph of the same formula = 69 meV per atom

=====

This record from Alexandria via LeMat-Bulk describes crystalline Cs2ZnGe at its relaxed geometry. The functional is GGA-PBE.

Lattice parameters (Å, degrees): 7.380 7.380 7.380 144.03 93.89 97.06
Fractional coordinates of all 4 atoms:
Cs 0.240 0.000 0.240
Cs 0.760 0.000 0.760
Zn 0.292 0.292 0.000
Ge 0.209 0.709 0.500

Formation energy from the elements = -0.11 eV/f.u.
Symmetry = Imm2 (44)
Size of the total moment = 0.000 μB per formula unit

=====

This record from Alexandria via LeMat-Bulk describes crystalline Cs2ZnGe at its relaxed geometry. The functional is GGA-PBE.

Lattice parameters (Å, degrees): 6.356 6.356 6.356 60.00 60.00 60.00
Fractional coordinates of all 4 atoms:
Cs 0.250 0.250 0.250
Cs 0.750 0.750 0.750
Zn 0.000 0.000 0.000
Ge 0.500 0.500 0.500

Formation energy from the elements = 1.27 eV/f.u.
Symmetry = Fm-3m (225)
Size of the total moment = 2.003 μB per formula unit

=====

This record from Alexandria via LeMat-Bulk describes crystalline CsZn2Ge2 at its relaxed geometry. The functional is GGA-PBE.

Lattice parameters (Å, degrees): 8.820 8.820 3.148 90.00 90.00 90.00
Fractional coordinates of all 10 atoms:
Cs 0.000 0.000 0.000
Cs 0.500 0.500 0.000
Zn 0.117 0.383 0.000
Zn 0.383 0.883 0.000
Zn 0.617 0.117 0.000
Zn 0.883 0.617 0.000
Ge 0.142 0.642 0.500
Ge 0.358 0.142 0.500
Ge 0.642 0.858 0.500
Ge 0.858 0.358 0.500

Formation energy from the elements = 1.24 eV/f.u.
Symmetry = P4/mbm (127)
Size of the total moment = 0.000 μB per formula unit
Distance to the lowest polymorph of the same formula = 222 meV per atom

=====

| no. | DOS at the Fermi energy (states/eV/f.u.) |
| --- | --- |
| 1 | 3.8 |
| 2 | 0.1 |
| 3 | 2.1 |
| 4 | 1.7 |
| 5 | 3.0 |
| 6 | 1.6 |